Density functional theory data (PBE) for a relaxed LaAlSiBr crystal.

As for the total energy: -4.905 eV per atom. Its total magnetization is 0.00 μB/f.u. As for the volume: 671 Å³/cell.

The space group is R-3m (No. 166, hexagonal axes) and the conventional cell measures 4.2678, 4.2678 and 42.5553 Å, with angles of 90.00, 90.00 and 120.00 degrees. The asymmetric unit holds La at (0.0000, 0.0000, 0.0797), Al at (0.0000, 0.0000, 0.3106), Si at (0.0000, 0.0000, 0.3701) and Br at (0.0000, 0.0000, 0.2098).